This record from Alexandria describes a relaxed PmHfFeO5 crystal. The functional is PBE with a Hubbard U.

Computed properties:
* energy: -8.475 eV per atom

```
PmHfFeO5
1.0
3.486 -4.676 0.000
3.486 4.676 0.000
-3.117 0.000 6.898
Pm Hf Fe O
2 2 2 10
Direct
0.172 0.828 0.750
0.828 0.172 0.250
0.500 0.500 0.000
0.500 0.500 0.500
0.178 0.822 0.250
0.822 0.178 0.750
0.140 0.226 0.919
0.181 0.599 0.396
0.226 0.140 0.419
0.401 0.819 0.104
0.419 0.581 0.750
0.581 0.419 0.250
0.599 0.181 0.896
0.774 0.860 0.581
0.819 0.401 0.604
0.860 0.774 0.081
```